A plane-wave DFT calculation with PBE-GGA was carried out for a relaxed structure of K2BeOsO6.

Calculated values
Magnetic moment (μB/f.u.): 0.0
Formation energy from raw total energies (eV/atom): -1.3692
V (Å³ per cell): 240

```
K2BeOsO6
1.0
5.567 0.000 0.000
2.783 4.821 0.000
2.783 1.607 8.960
Os O K Be
2 12 4 2
direct
0.000 0.000 0.000
0.500 0.500 0.500
0.712 0.203 0.882
0.610 0.152 0.628
0.203 0.203 0.882
0.797 0.288 0.118
0.610 0.610 0.628
0.288 0.797 0.118
0.203 0.712 0.882
0.848 0.390 0.372
0.797 0.797 0.118
0.152 0.610 0.628
0.390 0.848 0.372
0.390 0.390 0.372
0.719 0.719 0.843
0.281 0.281 0.157
0.130 0.130 0.610
0.870 0.870 0.390
0.399 0.399 0.803
0.601 0.601 0.197
```



A plane-wave DFT calculation with PBE-GGA was carried out for a relaxed structure of Tb2LuO.

Calculated values
Magnetic moment (μB/f.u.): 0.0
Formation energy from raw total energies (eV/atom): -0.8413
V (Å³ per cell): 88
Polymorph energy (0 for the lowest one) (eV/atom): 0.4948

```
Tb2LuO
1.0
3.187 0.000 0.000
0.000 3.187 0.000
0.000 0.000 8.635
Lu Tb O
1 2 1
direct
0.500 0.500 0.500
0.000 0.000 0.177
0.000 0.000 0.823
0.500 0.500 0.000
```



A plane-wave DFT calculation with PBE-GGA was carried out for a relaxed structure of Cs2TaCuO4.

Calculated values
Magnetic moment (μB/f.u.): 0.0
Formation energy from raw total energies (eV/atom): -1.8819
V (Å³ per cell): 163

```
Cs2TaCuO4
1.0
6.055 -0.098 -0.150
-2.668 5.436 0.150
-2.668 -2.051 5.037
Cu Cs O Ta
1 2 4 1
direct
0.000 0.500 0.500
0.000 0.000 0.000
0.500 0.750 0.250
0.623 0.342 0.519
0.177 0.281 0.658
0.823 0.481 0.104
0.377 0.896 0.719
0.500 0.250 0.750
```



A plane-wave DFT calculation with PBE-GGA was carried out for a relaxed structure of KYTe2N.

Calculated values
Magnetic moment (μB/f.u.): 2.9
Formation energy from raw total energies (eV/atom): 0.8003
V (Å³ per cell): 163
Polymorph energy (0 for the lowest one) (eV/atom): 1.0895

```
KYTe2N
1.0
5.952 0.000 0.000
0.000 5.952 0.000
0.000 0.000 4.600
Te K Y N
2 1 1 1
direct
0.000 0.500 0.000
0.500 0.000 0.000
0.000 0.000 0.000
0.500 0.500 0.500
0.000 0.000 0.500
```



A plane-wave DFT calculation with PBE-GGA was carried out for a relaxed structure of Th3TcBi.

Calculated values
DFT formation energy (eV per formula unit): -0.8
Magnetic moment (μB/f.u.): 0.0
V (Å³ per cell): 161
Polymorph energy (0 for the lowest one) (eV/atom): 0.1612

```
Th3TcBi
1.0
-4.937 -1.875 -1.297
2.234 -4.594 -1.863
-0.454 -2.224 4.941
Bi Th Tc
1 3 1
direct
0.500 0.500 0.500
0.000 0.500 0.000
0.500 0.000 0.000
0.000 0.000 0.500
0.000 0.000 0.000
```